## K3TaIn3S8 (GGA-PBE)

Data for a relaxed structure of K3TaIn3S8.

abc: 7.7259 7.7349 8.7051
angles: 116.34 90.00 119.96
Fractional positions:
S (0.2179, 0.9699, 0.6873)
In (0.5000, 0.5000, 0.5000)
S (0.2480, 0.0301, 0.3127)
S (0.2175, 0.4350, 0.6875)
In (0.0000, 0.5000, 0.5000)
In (0.5000, 0.0000, 0.5000)
K (0.0000, 0.5000, 0.0000)
S (0.7821, 0.0301, 0.3127)
Ta (0.0000, 0.0000, 0.5000)
S (0.7322, 0.4643, 0.6934)
S (0.7520, 0.9699, 0.6873)
S (0.2678, 0.5357, 0.3066)
K (0.5000, 0.5000, 0.0000)
K (0.0000, 0.0000, 0.0000)
S (0.7825, 0.5650, 0.3125)

## Properties
The value obtained for the formation energy (no corrections) is -891.7 meV/atom. As for the space group: C2/m, No. 12. The value obtained for the theoretical density is 3.857 g cm⁻³.